Record 1
{
  "formula": "TlGa2AgGe",
  "functional": "PBE",
  "state": "optimized geometry",
  "cell": [[5.029, 0.000, 0.000], [0.000, 5.029, 0.000], [0.000, 0.000, 5.142]],
  "species": ["Tl", "Ga", "Ga", "Ag", "Ge"],
  "fractional_positions": [[0.000, 0.000, 0.000], [0.000, 0.500, 0.500], [0.500, 0.000, 0.500], [0.500, 0.500, 0.500], [0.500, 0.500, 0.000]],
  "formation_energy_ev_per_atom": 0.363
}


Record 2
{
  "formula": "TmGaAgGe",
  "functional": "PBE",
  "state": "optimized geometry",
  "cell": [[0.000, 3.410, 3.410], [3.410, 0.000, 3.410], [3.410, 3.410, 0.000]],
  "species": ["Tm", "Ga", "Ag", "Ge"],
  "fractional_positions": [[0.000, 0.000, 0.000], [0.750, 0.750, 0.750], [0.500, 0.500, 0.500], [0.250, 0.250, 0.250]],
  "formation_energy_ev_per_atom": -0.255
}


Record 3
{
  "formula": "Ga2AgH6",
  "functional": "PBE",
  "state": "optimized geometry",
  "cell": [[0.000, 3.456, 3.456], [3.456, 0.000, 3.456], [3.456, 3.456, 0.000]],
  "species": ["Ga", "Ga", "Ag", "H", "H", "H", "H", "H", "H"],
  "fractional_positions": [[0.250, 0.250, 0.250], [0.750, 0.750, 0.750], [0.000, 0.000, 0.000], [0.273, 0.273, 0.727], [0.273, 0.727, 0.273], [0.273, 0.727, 0.727], [0.727, 0.273, 0.273], [0.727, 0.273, 0.727], [0.727, 0.727, 0.273]],
  "dft_energy_ev_per_atom": -2.575
}


Record 4
{
  "formula": "Ga2AgH",
  "functional": "PBE",
  "state": "optimized geometry",
  "cell": [[0.000, 3.157, 3.157], [3.157, 0.000, 3.157], [3.157, 3.157, 0.000]],
  "species": ["Ga", "Ga", "Ag", "H"],
  "fractional_positions": [[0.250, 0.250, 0.250], [0.750, 0.750, 0.750], [0.000, 0.000, 0.000], [0.500, 0.500, 0.500]],
  "polymorph_energy_mev_per_atom": 236
}


Record 5
{
  "formula": "Ga3AgH",
  "functional": "PBE",
  "state": "optimized geometry",
  "cell": [[5.013, 0.000, 0.000], [0.000, 5.013, 0.000], [0.000, 0.000, 5.013]],
  "species": ["Ga", "Ga", "Ga", "Ag", "H"],
  "fractional_positions": [[0.000, 0.000, 0.500], [0.000, 0.500, 0.000], [0.500, 0.000, 0.000], [0.000, 0.000, 0.000], [0.500, 0.500, 0.500]],
  "polymorph_energy_mev_per_atom": 448
}


Record 6
{
  "formula": "Ga2AgH",
  "functional": "PBE",
  "state": "optimized geometry",
  "cell": [[1.467, 0.847, 8.145], [-1.467, 0.847, 8.145], [0.000, -1.694, 8.145]],
  "species": ["Ga", "Ga", "Ag", "H"],
  "fractional_positions": [[0.073, 0.073, 0.073], [0.927, 0.927, 0.927], [0.500, 0.500, 0.500], [0.000, 0.000, 0.000]],
  "polymorph_energy_mev_per_atom": 0
}


Number 1: calculated volume 26.010 Å³/atom. Number 2: calculated volume 19.823 Å³/atom. Number 3: calculated volume 9.175 Å³/atom. Number 4: calculated volume 15.736 Å³/atom. Number 5: calculated volume 25.198 Å³/atom. Number 6: calculated volume 15.175 Å³/atom.